VASP calculation (PBE) on a relaxed Ni3Te2Se4 crystal.

Lattice parameters (Å, degrees): 18.853 3.730 4.975 90.00 90.08 90.00
Space group C2/m (No. 12)
Unique sites:
Ni1 0.000 0.000 0.000 x2
Ni2 0.153 0.500 0.520 x4
Te1 0.214 0.000 0.249 x4
Se1 0.040 0.500 0.289 x4
Se2 0.116 0.000 0.796 x4

---

VASP calculation (PBE) on a relaxed Tl2NiSe3 crystal.

Lattice parameters (Å, degrees): 6.050 7.308 8.256 87.23 68.84 70.15
Space group P-1 (No. 2)
Unique sites:
Tl1 0.149 0.044 0.195 x2
Tl2 0.323 0.285 0.583 x2
Ni1 0.451 0.448 0.169 x2
Se1 0.197 0.679 0.404 x2
Se2 0.240 0.428 0.991 x2
Se3 0.377 0.883 0.805 x2

---

VASP calculation (PBE) on a relaxed Tl2NiSe3 crystal.

Lattice parameters (Å, degrees): 13.392 6.329 9.673 90.00 127.33 90.00
Space group C2/m (No. 12)
Unique sites:
Tl1 0.102 0.000 0.405 x4
Tl2 0.185 0.500 0.815 x4
Ni1 0.115 0.500 0.175 x4
Se1 0.000 0.225 0.000 x4
Se2 0.108 0.500 0.406 x4
Se3 0.201 0.000 0.796 x4

---

VASP calculation (PBE) on a relaxed YTlNiSe3 crystal.

Lattice parameters (Å, degrees): 8.437 3.984 10.347 90.00 110.91 90.00
Space group P2_1/m (No. 11)
Unique sites:
Y1 0.194 0.250 0.146 x2
Tl1 0.231 0.750 0.705 x2
Ni1 0.414 0.750 0.399 x2
Se1 0.053 0.250 0.854 x2
Se2 0.299 0.250 0.455 x2
Se3 0.445 0.750 0.177 x2

---

VASP calculation (PBE) on a relaxed YTlNiSe3 crystal.

Lattice parameters (Å, degrees): 16.676 4.128 8.998 90.00 105.19 90.00
Space group C2/m (No. 12)
Unique sites:
Y1 0.173 0.000 0.096 x4
Tl1 0.141 0.000 0.567 x4
Ni1 0.001 0.500 0.811 x4
Se1 0.000 0.000 0.000 x2
Se2 0.000 0.500 0.500 x2
Se3 0.146 0.500 0.293 x4
Se4 0.152 0.500 0.864 x4

---

VASP calculation (PBE) on a relaxed Tm7Ni2Se2 crystal.

Lattice parameters (Å, degrees): 3.744 14.882 9.188 90.00 90.00 90.00
Space group Imm2 (No. 44)
Unique sites:
Tm1 0.000 0.000 0.000 x2
Tm2 0.000 0.126 0.412 x4
Tm3 0.000 0.316 0.617 x4
Tm4 0.000 0.360 0.260 x4
Ni1 0.000 0.238 0.922 x4
Se1 0.000 0.000 0.659 x2
Se2 0.000 0.500 0.758 x2

---

| no. | M_tot (μB per cell) | final energy (eV/atom) |
| --- | --- | --- |
| 1 | 0.003 | -4.36 |
| 2 | 0.002 | -3.68 |
| 3 | 0.042 | -3.67 |
| 4 | 0.859 | -5.07 |
| 5 | 0.583 | -4.96 |
| 6 | 0.003 | -5.31 |